! Pr2Tm4Sc5, optimized geometry, DFT PBE; values from VASP
! SG: P2/m (10)
! Uncorrected energy in eV/atom: -5.242
! Total moment in μB/f.u.: 1.56
&SYSTEM
  ibrav = 0, nat = 11, ntyp = 3
/
ATOMIC_SPECIES
Tm 168.93 Tm.upf
Sc 44.96 Sc.upf
Pr 140.91 Pr.upf
CELL_PARAMETERS angstrom
3.417 0.000 0.000
0.000 8.073 -2.214
0.000 -1.129 11.972
ATOMIC_POSITIONS crystal
Tm 0.500 0.271 0.746
Tm 0.500 0.276 0.147
Tm 0.500 0.724 0.853
Tm 0.500 0.729 0.254
Sc 0.000 0.508 0.379
Sc 0.000 0.492 0.621
Sc 0.000 0.082 0.900
Sc 0.000 0.500 0.000
Sc 0.000 0.918 0.100
Pr 0.000 0.119 0.398
Pr 0.000 0.881 0.602

! Pr2Tm2Sc, optimized geometry, DFT PBE; values from VASP
! SG: C2/c (15)
! Uncorrected energy in eV/atom: -4.926
! Total moment in μB/f.u.: 0.00
&SYSTEM
  ibrav = 0, nat = 10, ntyp = 3
/
ATOMIC_SPECIES
Pr 140.91 Pr.upf
Sc 44.96 Sc.upf
Tm 168.93 Tm.upf
CELL_PARAMETERS angstrom
6.187 0.000 0.000
-3.093 7.517 -2.081
0.000 0.179 6.705
ATOMIC_POSITIONS crystal
Pr 0.813 0.798 0.047
Pr 0.015 0.202 0.453
Pr 0.187 0.202 0.953
Pr 0.985 0.798 0.547
Sc 0.577 0.000 0.750
Sc 0.423 0.000 0.250
Tm 0.384 0.607 0.354
Tm 0.224 0.607 0.854
Tm 0.776 0.393 0.146
Tm 0.616 0.393 0.646